Material: PrCd11Rh
Method: DFT, PBE-GGA
State: relaxed

The space group is C2/m (No. 12) and the conventional cell measures 5.661, 14.304 and 7.634 Å, with angles of 90.00, 111.38 and 90.00 degrees. The distinct sites, in fractional coordinates, are Pr at (0.000, 0.000, 0.000), Cd at (0.000, 0.000, 0.500), Cd at (0.099, 0.396, 0.216), Cd at (0.196, 0.169, 0.360), Cd at (0.250, 0.250, 0.000) and Rh at (0.000, 0.500, 0.500).



Material: Pr5Cd2Rh2
Method: DFT, PBE-GGA
State: relaxed

The space group is Cmce (No. 64) and the conventional cell measures 16.531, 7.653 and 8.134 Å, with angles of 90.00, 90.00 and 90.00 degrees. The distinct sites, in fractional coordinates, are Pr at (0.000, 0.000, 0.000), Pr at (0.120, 0.171, 0.323), Cd at (0.217, 0.000, 0.000) and Rh at (0.000, 0.130, 0.628).



Material: PrCdRh
Method: DFT, PBE-GGA
State: relaxed

The space group is F-43m (No. 216) and the conventional cell measures 6.759, 6.759 and 6.759 Å, with angles of 90.00, 90.00 and 90.00 degrees. The distinct sites, in fractional coordinates, are Pr at (0.000, 0.000, 0.000), Cd at (0.000, 0.000, 0.500) and Rh at (0.250, 0.250, 0.750).



| no. | VASP energy (eV/cell) |
| --- | --- |
| 1 | -48.34 |
| 2 | -177.06 |
| 3 | -57.18 |